{
  "formula": "Nb2GaCu",
  "functional": "PBE-GGA",
  "state": "relaxed",
  "lattice_angstrom": [[7.141, 0.000, 0.000], [0.000, 7.141, 0.000], [3.570, 3.570, 2.678]],
  "species": ["Nb", "Nb", "Nb", "Nb", "Cu", "Cu", "Ga", "Ga"],
  "fractional_positions": [[0.618, 0.125, 0.250], [0.132, 0.625, 0.250], [0.375, 0.382, 0.750], [0.875, 0.868, 0.750], [0.500, 0.500, 0.000], [0.250, 0.750, 0.500], [0.000, 0.000, 0.000], [0.750, 0.250, 0.500]],
  "final_energy_ev_per_atom": -6.57,
  "magmom_total_mub_per_fu": 0.0,
  "sg": "I-42d"
}